[1]
Crystalline MoOsSeN2 at its relaxed geometry, computed with PBE.

Geometry as POSCAR:
```
MoOsSeN2
1.0
3.8634 0.0000 0.0000
0.0000 3.8634 0.0000
0.0000 0.0000 5.3820
Mo Os Se N
1 1 1 2
Direct
0.0000 0.0000 0.0000
0.5000 0.5000 0.5000
0.0000 0.0000 0.5000
0.0000 0.5000 0.0000
0.5000 0.0000 0.0000
```

Output
- E above lowest polymorph (eV per atom) = 0.273
- raw total energy (eV per atom) = -7.175
- space-group type = No. 123

[2]
Crystalline CrCoNiSb at its relaxed geometry, computed with PBE.

Geometry as POSCAR:
```
CrCoNiSb
1.0
4.2615 0.0000 0.0000
2.1308 3.6906 0.0000
2.1308 1.2302 3.4795
Sb Co Cr Ni
1 1 1 1
Direct
0.5000 0.5000 0.5000
0.7500 0.7500 0.7500
0.0000 0.0000 0.0000
0.2500 0.2500 0.2500
```

Output
- raw total energy (eV per atom) = -6.586
- space-group type = No. 216